[1]
YScGa2 | PBE-GGA | optimized geometry

```
YScGa2
1.0
3.4871 0.0000 0.0000
0.0000 3.4871 0.0000
0.0000 0.0000 6.8733
Ga Y Sc
2 1 1
Direct
0.0000 0.0000 0.7720
0.0000 0.0000 0.2280
0.5000 0.5000 0.5000
0.5000 0.5000 0.0000
```

Energy above the lowest structure with this stoichiometry   0.09 eV/f.u.

---

[2]
Y3ScGa2 | PBE-GGA | optimized geometry

```
Y3ScGa2
1.0
-6.2377 0.0132 0.3799
0.3119 -3.3573 5.2380
3.2345 8.2960 1.4205
Sc Y Ga
2 6 4
Direct
0.0000 0.7500 0.0000
0.0000 0.2500 0.0000
0.5777 0.3203 0.6406
0.5000 0.2500 0.0000
0.0629 0.8203 0.6406
0.9371 0.1797 0.3594
0.4223 0.6797 0.3594
0.5000 0.7500 0.0000
0.1102 0.3702 0.7404
0.8898 0.6298 0.2596
0.6302 0.8702 0.7404
0.3698 0.1298 0.2596
```

Total DFT energy (no corrections)   -5.710 eV per atom